Compound: Mn2PbO6
Source: Alexandria via LeMat-Bulk
Functional: GGA+U
Structure: optimized geometry

DFT total energy ... -6.55 eV/atom
Magnetic moment ... 6.0 μB/f.u.
V ... 11.3 Å³ per atom

```
data_Mn2PbO6
_space_group_name_H-M_alt 'P -3 1 m'
_space_group_IT_number 162
_space_group_name_Hall '-P 3 2'
_cell_length_a 5.0362
_cell_length_b 5.0362
_cell_length_c 4.6347
_cell_angle_alpha 90.00
_cell_angle_beta 90.00
_cell_angle_gamma 120.00
loop_
_atom_site_label
_atom_site_fract_x
_atom_site_fract_y
_atom_site_fract_z
_atom_site_occupancy
Mn1 0.3333 0.6667 0.0000 1
Pb1 0.0000 0.0000 0.5000 1
O1 0.0000 0.3659 0.2273 1
```